Entry 1:
An optimized crystal structure of BaTlZnIn2, computed with GGA-PBE.

```
BaTlZnIn2
1.0
5.307 0.000 0.000
0.000 5.307 0.000
0.000 0.000 5.657
Zn In Ba Tl
1 2 1 1
direct
0.000 0.000 0.000 Zn
0.000 0.500 0.000 In
0.500 0.000 0.000 In
0.500 0.500 0.500 Ba
0.000 0.000 0.500 Tl
```

Properties
**SG**: P4/mmm
**Crystal system**: tetragonal


Entry 2:
An optimized crystal structure of SrCrGa3, computed with GGA-PBE.

```
SrCrGa3
1.0
-5.105 1.322 1.736
-1.701 -5.178 -1.059
1.367 -1.506 5.166
Sr Ga Cr
1 3 1
direct
0.000 0.000 0.000 Sr
0.500 0.000 0.000 Ga
0.000 0.500 0.000 Ga
0.000 0.000 0.500 Ga
0.500 0.500 0.500 Cr
```

Properties
**SG**: Pm-3m
**Crystal system**: cubic


Entry 3:
An optimized crystal structure of NaTmAg2, computed with GGA-PBE.

```
NaTmAg2
1.0
3.569 0.000 0.000
0.000 3.569 0.000
0.000 0.000 7.469
Tm Ag Na
1 2 1
direct
0.500 0.500 0.000 Tm
0.000 0.000 0.224 Ag
0.000 0.000 0.776 Ag
0.500 0.500 0.500 Na
```

Properties
**SG**: P4/mmm
**Crystal system**: tetragonal


Entry 4:
An optimized crystal structure of Y3Zr4, computed with GGA-PBE.

```
Y3Zr4
1.0
-5.035 -2.761 2.126
4.568 -3.340 -2.338
2.388 -0.364 5.184
Y Zr
3 4
direct
0.500 0.000 0.000 Y
0.500 0.500 0.000 Y
0.000 0.500 0.000 Y
0.000 0.000 0.270 Zr
0.333 0.667 0.500 Zr
0.667 0.333 0.500 Zr
0.000 0.000 0.730 Zr
```

Properties
**SG**: P6/mmm
**Crystal system**: hexagonal


no.,energy of formation (meV per atom),size of the total moment (μB/cell)
1,-92,0.000
2,1829,0.685
3,-154,0.000
4,489,1.699